(1)
Below is an optimized crystal structure of BaPdPb2, with properties calculated at the PBE level.

## Properties
* energy: -14.68 eV per cell
* crystal system: trigonal
* spin magnetization: 0.00 Bohr magnetons per cell
* Fermi-level density of states: 3.02 states/eV/f.u.
* calculated volume: 148.0 Å³ per cell

Lattice parameters (Å, degrees): 4.126 4.126 10.316 78.46 78.46 60.00
Positions (direct):
Pb 0.117 0.117 0.649
Pb 0.883 0.883 0.351
Ba 0.000 0.000 0.000
Pd 0.500 0.500 0.500

(2)
Below is an optimized crystal structure of LiFeSi2, with properties calculated at the PBE level.

## Properties
* distance to the lowest polymorph of the same formula: 0.140 eV per atom
* formation energy (no corrections): -0.45 eV per formula unit
* crystal system: tetragonal
* spin magnetization: 0.98 Bohr magnetons per cell
* Fermi-level density of states: 1.16 states/eV/f.u.
* calculated volume: 47.9 Å³ per cell

Lattice parameters (Å, degrees): 3.132 3.132 4.882 90.00 90.00 90.00
Site moments in Bohr magnetons follow the coordinates.
Positions (direct):
Fe 0.000 0.000 0.477  1.07
Li 0.500 0.500 0.755  -0.01
Si 0.000 0.000 0.992  0.00
Si 0.500 0.500 0.276  -0.04

(3)
Below is an optimized crystal structure of CeMgTcN3, with properties calculated at the PBE level.

## Properties
* formation energy (no corrections): -4.85 eV per formula unit
* crystal system: monoclinic
* spin magnetization: 0.00 Bohr magnetons per cell
* calculated volume: 147.6 Å³ per cell

Lattice parameters (Å, degrees): 3.186 5.702 8.734 111.48 90.00 90.00
Positions (direct):
Ce 0.750 0.682 0.713
Ce 0.250 0.318 0.287
Mg 0.250 0.726 0.079
Mg 0.750 0.274 0.921
Tc 0.250 0.130 0.625
Tc 0.750 0.870 0.375
N 0.250 0.746 0.492
N 0.750 0.993 0.174
N 0.750 0.518 0.173
N 0.750 0.254 0.508
N 0.250 0.482 0.827
N 0.250 0.007 0.826

(4)
Below is an optimized crystal structure of La6AsSe4, with properties calculated at the PBE level.

## Properties
* formation energy (no corrections): -15.97 eV per formula unit
* crystal system: trigonal
* spin magnetization: 0.04 Bohr magnetons per cell
* Fermi-level density of states: 11.60 states/eV/f.u.
* calculated volume: 634.3 Å³ per cell

Lattice parameters (Å, degrees): 8.593 8.593 8.593 90.75 90.75 89.25
Positions (direct):
La 0.684 0.053 0.083
La 0.083 0.316 0.053
La 0.583 0.447 0.184
La 0.947 0.083 0.684
La 0.553 0.184 0.583
La 0.184 0.417 0.447
La 0.816 0.583 0.553
La 0.447 0.816 0.417
La 0.053 0.917 0.316
La 0.417 0.553 0.816
La 0.917 0.684 0.947
La 0.316 0.947 0.917
As 0.500 0.500 0.500
As 0.000 0.000 0.000
Se 0.361 0.139 0.250
Se 0.861 0.250 0.361
Se 0.250 0.639 0.139
Se 0.250 0.250 0.750
Se 0.750 0.750 0.250
Se 0.750 0.361 0.861
Se 0.139 0.750 0.639
Se 0.639 0.861 0.750

(5)
Below is an optimized crystal structure of NiAgIN2, with properties calculated at the PBE level.

## Properties
* distance to the lowest polymorph of the same formula: 0.769 eV per atom
* formation energy (no corrections): 10.24 eV per formula unit
* crystal system: tetragonal
* spin magnetization: 0.00 Bohr magnetons per cell
* Fermi-level density of states: 11.95 states/eV/f.u.
* calculated volume: 113.5 Å³ per cell

Lattice parameters (Å, degrees): 3.864 3.864 7.601 90.00 90.00 90.00
Positions (direct):
I 0.000 0.000 0.500
Ni 0.500 0.500 0.500
Ag 0.000 0.000 0.000
N 0.000 0.500 0.000
N 0.500 0.000 0.000

(6)
Below is an optimized crystal structure of AcTmGaOs, with properties calculated at the PBE level.

## Properties
* energy: -23.31 eV per cell
* crystal system: cubic
* spin magnetization: 0.00 Bohr magnetons per cell
* Fermi-level density of states: 2.54 states/eV/f.u.
* calculated volume: 95.2 Å³ per cell

Lattice parameters (Å, degrees): 5.125 5.125 5.125 60.00 60.00 60.00
Positions (direct):
Ac 0.500 0.500 0.500
Tm 0.000 0.000 0.000
Os 0.750 0.750 0.750
Ga 0.250 0.250 0.250

(7)
Below is an optimized crystal structure of Tl2InSn, with properties calculated at the PBE level.

## Properties
* distance to the lowest polymorph of the same formula: 0.024 eV per atom
* crystal system: tetragonal
* spin magnetization: 0.00 Bohr magnetons per cell
* Fermi-level density of states: 2.56 states/eV/f.u.
* calculated volume: 116.9 Å³ per cell

Lattice parameters (Å, degrees): 5.119 4.780 4.780 90.00 90.00 90.00
Positions (direct):
Tl 0.000 0.000 0.500
Tl 0.000 0.500 0.000
Sn 0.500 0.000 0.000
In 0.500 0.500 0.500

(8)
Below is an optimized crystal structure of GaHgH2, with properties calculated at the PBE level.

## Properties
* distance to the lowest polymorph of the same formula: 0.471 eV per atom
* crystal system: cubic
* spin magnetization: 0.00 Bohr magnetons per cell
* Fermi-level density of states: 0.71 states/eV/f.u.
* calculated volume: 54.1 Å³ per cell

Lattice parameters (Å, degrees): 4.244 4.244 4.244 60.00 60.00 60.00
Positions (direct):
H 0.250 0.250 0.250
H 0.750 0.750 0.750
Hg 0.500 0.500 0.500
Ga 0.000 0.000 0.000